# SrLaTm (PBE, optimized geometry)
# ΔH_f (0 K) = 122 meV/atom
# uncorrected energy = -3.571 eV per atom
data_SrLaTm
_cell_length_a 3.815
_cell_length_b 3.815
_cell_length_c 8.486
_cell_angle_alpha 102.99
_cell_angle_beta 102.99
_cell_angle_gamma 90.00
_space_group_name_H-M_alt 'P 1'
_space_group_IT_number 1
loop_
_space_group_symop_operation_xyz
'x,y,z'
loop_
_atom_site_label
_atom_site_type_symbol
_atom_site_fract_x
_atom_site_fract_y
_atom_site_fract_z
Tm1 Tm 0.678 0.678 0.357
La1 La 0.318 0.318 0.635
Sr1 Sr 0.004 0.004 0.008